Pa2Zn15Pd2 | PBE-GGA | optimized geometry

Cell and atoms, written as POSCAR:
```
Pa2Zn15Pd2
1.0
0.8222 -6.6943 -0.3276
6.7376 -0.0214 0.4499
0.3739 -1.1064 6.6508
Pa Pd Zn
2 2 15
Direct
0.3400 0.3400 0.3400 Pa
0.6600 0.6600 0.6600 Pa
0.1158 0.1158 0.1158 Pd
0.8842 0.8842 0.8842 Pd
0.5000 0.0000 0.0000 Zn
0.7113 0.2887 0.0000 Zn
0.0000 0.5000 0.0000 Zn
0.2887 0.7113 0.0000 Zn
0.6459 0.6459 0.1590 Zn
0.7113 0.0000 0.2887 Zn
0.0000 0.7113 0.2887 Zn
0.8410 0.3541 0.3541 Zn
0.3541 0.8410 0.3541 Zn
0.0000 0.0000 0.5000 Zn
0.6459 0.1590 0.6459 Zn
0.1590 0.6459 0.6459 Zn
0.2887 0.0000 0.7113 Zn
0.0000 0.2887 0.7113 Zn
0.3541 0.3541 0.8410 Zn
```

Its calculated total energy is -2.7691 eV/atom. The space group is No. 166. For the formation energy, the calculation gives -0.2262 eV/atom.